1.
Material: NbTlN2O
Method: DFT, GGA-PBE
State: relaxed

Calculated values
crystal system: tetragonal

Cell: 4.1847 4.1847 4.0849 Å, 90.00 90.00 90.00°
With the nearest neighbours (Å) after each atom.
Atoms (fractional coordinates):
1 Tl 0.0000 0.0000 0.0000  2 O 2.04, 4 N 2.09
2 Nb 0.5000 0.5000 0.5000  8 N 2.92, 4 O 2.96
3 O 0.0000 0.0000 0.5000  2 Tl 2.04
4 N 0.0000 0.5000 0.0000  2 Tl 2.09
5 N 0.5000 0.0000 0.0000  2 Tl 2.09

2.
Material: KAcC2O6
Method: DFT, GGA-PBE
State: relaxed

Calculated values
crystal system: monoclinic

Cell: 6.8330 6.8330 7.4040 Å, 105.00 105.00 96.89°
With the nearest neighbours (Å) after each atom.
Atoms (fractional coordinates):
1 K 0.1292 0.8708 0.2500  8 O 2.90-3.18
2 K 0.8708 0.1292 0.7500  8 O 2.90-3.18
3 Ac 0.6081 0.3919 0.2500  8 O 2.50-2.72
4 Ac 0.3919 0.6081 0.7500  8 O 2.50-2.72
5 C 0.3753 0.1460 0.7265  3 O 1.29-1.32
6 C 0.8540 0.6247 0.7735  3 O 1.29-1.32
7 C 0.6247 0.8540 0.2735  3 O 1.29-1.32
8 C 0.1460 0.3753 0.2265  3 O 1.29-1.32
9 O 0.9545 0.3876 0.1958  1 C 1.29
10 O 0.6124 0.0455 0.3042  1 C 1.29
11 O 0.0455 0.6124 0.8042  1 C 1.29
12 O 0.3876 0.9545 0.6958  1 C 1.29
13 O 0.2061 0.2336 0.1123  1 C 1.29
14 O 0.7664 0.7939 0.3877  1 C 1.29
15 O 0.7939 0.7664 0.8877  1 C 1.29
16 O 0.2336 0.2061 0.6123  1 C 1.29
17 O 0.2890 0.5133 0.3753  1 C 1.32
18 O 0.4867 0.7110 0.1247  1 C 1.32
19 O 0.7110 0.4867 0.6247  1 C 1.32
20 O 0.5133 0.2890 0.8753  1 C 1.32

no.,formation energy without anion corrections (eV/atom)
1,1.624
2,-2.164